# LiFeN2O | Alexandria via LeMat-Bulk | GGA+U | optimized geometry
data_LiFeN2O
_cell_length_a 3.520
_cell_length_b 3.520
_cell_length_c 4.049
_cell_angle_alpha 90.00
_cell_angle_beta 90.00
_cell_angle_gamma 90.00
_space_group_name_H-M_alt 'P 1'
_space_group_IT_number 1
loop_
_space_group_symop_operation_xyz
'x,y,z'
loop_
_atom_site_label
_atom_site_type_symbol
_atom_site_fract_x
_atom_site_fract_y
_atom_site_fract_z
Li1 Li 0.000 0.000 0.000
Fe1 Fe 0.500 0.500 0.500
N1 N 0.000 0.500 0.500
N2 N 0.500 0.000 0.500
O1 O 0.500 0.500 0.000
# - space-group type = No. 123
# - total DFT energy (no corrections) (eV per atom) = -4.94